# AcZrUO6, relaxed, DFT PBE
data_AcZrUO6
_chemical_formula_sum 'Ac2 Zr2 U2 O12'
_cell_length_a 5.7401
_cell_length_b 5.7401
_cell_length_c 10.4513
_cell_angle_alpha 90.00
_cell_angle_beta 90.00
_cell_angle_gamma 120.00
_symmetry_space_group_name_H-M 'P -3 1 c'
_symmetry_Int_Tables_number 163
_symmetry_space_group_name_Hall '-P 3 2c'
loop_
_atom_site_label
_atom_site_fract_x
_atom_site_fract_y
_atom_site_fract_z
Ac1 0.0000 0.0000 0.0000
Zr1 0.3333 0.6667 0.2500
U1 0.3333 0.6667 0.7500
O1 0.0033 0.3657 0.1427
# Total moment: 2.0 μB/cell
# VASP energy: -9.327 eV/atom
# Formation energy from raw total energies: -3.361 eV per atom